YInCoIr (PBE, optimized geometry); energy = -6.2241 eV/atom
1.0
-4.444 1.366 0.725
-2.815 0.890 -3.664
-3.552 -2.919 -1.002
Y Co Ir In
1 1 1 1
direct
0.250 0.250 0.250
0.750 0.750 0.750
0.500 0.500 0.500
0.000 0.000 0.000